Pr2Y3Ga4: relaxed, PBE.

It has space group P2_1/c (No. 14), with a = 8.027 Å, b = 8.053 Å, c = 7.673 Å, α = 90.00°, β = 106.79° and γ = 90.00°. The distinct sites, in fractional coordinates, are Pr at (0.192, 0.181, 0.077), Y at (0.241, 0.676, 0.251), Y at (0.500, 0.000, 0.500), Ga at (0.081, 0.530, 0.870) and Ga at (0.495, 0.118, 0.878).

As for the formation energy: -592.8 meV/atom. The value obtained for the magnetic moment is 0.00 μB/f.u.